1.
A geometry-optimized Ba2NaAg2 structure, computed with GGA-PBE.

Geometry as CIF:
```
data_Ba2NaAg2
_space_group_name_H-M_alt 'P 4/m b m'
_space_group_IT_number 127
_space_group_name_Hall '-P 4 2ab'
_cell_length_a 8.849
_cell_length_b 8.849
_cell_length_c 4.638
_cell_angle_alpha 90.00
_cell_angle_beta 90.00
_cell_angle_gamma 90.00
loop_
_atom_site_label
_atom_site_fract_x
_atom_site_fract_y
_atom_site_fract_z
Ba1 0.173 0.327 0.000
Na1 0.000 0.000 0.500
Ag1 0.118 0.618 0.500
```



2.
A geometry-optimized BaNa2Ag2 structure, computed with GGA-PBE.

Geometry as CIF:
```
data_BaNa2Ag2
_space_group_name_H-M_alt 'I 4/m m m'
_space_group_IT_number 139
_space_group_name_Hall '-I 4 2'
_cell_length_a 4.758
_cell_length_b 4.758
_cell_length_c 13.369
_cell_angle_alpha 90.00
_cell_angle_beta 90.00
_cell_angle_gamma 90.00
loop_
_atom_site_label
_atom_site_fract_x
_atom_site_fract_y
_atom_site_fract_z
Ba1 0.000 0.000 0.000
Na1 0.000 0.500 0.250
Ag1 0.000 0.000 0.396
```



3.
A geometry-optimized BaNaNbAgS4 structure, computed with GGA-PBE.

Geometry as CIF:
```
data_BaNaNbAgS4
_space_group_name_H-M_alt 'C 1 2 1'
_space_group_IT_number 5
_space_group_name_Hall 'C 2y'
_cell_length_a 10.075
_cell_length_b 8.099
_cell_length_c 7.126
_cell_angle_alpha 90.00
_cell_angle_beta 134.96
_cell_angle_gamma 90.00
loop_
_atom_site_label
_atom_site_fract_x
_atom_site_fract_y
_atom_site_fract_z
Ba1 0.000 0.000 0.000
Na1 0.000 0.749 0.500
Nb1 0.000 0.500 0.000
Ag1 0.000 0.251 0.500
S1 0.184 0.337 0.385
S2 0.201 0.663 0.017
```



4.
A geometry-optimized BaNaAgPbS4 structure, computed with GGA-PBE.

Geometry as CIF:
```
data_BaNaAgPbS4
_space_group_name_H-M_alt 'C 1 2 1'
_space_group_IT_number 5
_space_group_name_Hall 'C 2y'
_cell_length_a 10.217
_cell_length_b 8.269
_cell_length_c 7.225
_cell_angle_alpha 90.00
_cell_angle_beta 134.98
_cell_angle_gamma 90.00
loop_
_atom_site_label
_atom_site_fract_x
_atom_site_fract_y
_atom_site_fract_z
Ba1 0.000 0.000 0.000
Na1 0.000 0.749 0.500
Ag1 0.000 0.251 0.500
Pb1 0.000 0.500 0.000
S1 0.194 0.325 0.408
S2 0.213 0.675 0.019
```



no.,E_tot (eV/atom),volume (Å³ per cell),calculated density (g cm⁻³)
1,-2.40,363.2,4.69
2,-2.18,302.7,4.38
3,-5.13,411.4,3.95
4,-4.11,431.8,4.64